The following is a PBE-GGA calculation of an optimized crystal structure of SbMoI2Cl, from the Alexandria database.

a = 6.130 Å, b = 6.130 Å, c = 5.129 Å
α = 90.00°, β = 90.00°, γ = 90.00°
Space group P4/mmm (No. 123)
Asymmetric unit:
Sb 0.000 0.000 0.000 [1 per cell]
Mo 0.500 0.500 0.000 [1 per cell]
I 0.000 0.500 0.500 [2 per cell]
Cl 0.000 0.000 0.500 [1 per cell]

* electronic total energy: -2.71 eV per atom
* calculated volume: 192.8 Å³/cell
* energy above the lowest structure with this stoichiometry: 4.82 eV/f.u.